Density functional theory data (PBE) for ZrGa2Os after structural relaxation.

The space group is I-42d (No. 122) and the conventional cell measures 3.868, 3.868 and 19.516 Å, with angles of 90.00, 90.00 and 90.00 degrees. The asymmetric unit holds Zr at (0.000, 0.000, 0.000), Ga at (0.238, 0.250, 0.625) and Os at (0.000, 0.000, 0.500).

The value obtained for the formation energy from the elements is 0.01 eV/atom.